First-principles (GGA-PBE) data for CuHgPt2 after structural relaxation, as listed in the Alexandria database.

The structure belongs to space group I-42d (No. 122); the cell edges are 3.857, 3.857 and 18.971 Å and the angles 90.00°, 90.00° and 90.00°. The inequivalent atoms are Cu at (0.000, 0.000, 0.000), Hg at (0.000, 0.000, 0.500) and Pt at (0.238, 0.250, 0.125).

For the total energy, the calculation gives -3.90 eV/atom. The value obtained for the density of states at the Fermi level is 0.820 states/eV per atom. Its crystal system is tetragonal.